1.
{"formula": "YSc2F", "functional": "GGA-PBE", "state": "relaxed", "cell": [[1.976, 0.000, 8.643], [-0.988, 1.711, 8.643], [-0.988, -1.711, 8.643]], "species": ["Sc", "Y", "Sc", "F"], "fractional_positions": [[0.119, 0.119, 0.119], [0.000, 0.000, 0.000], [0.881, 0.881, 0.881], [0.500, 0.500, 0.500]], "space_group": "No. 166", "n_ef_per_ev_atom": 0.770, "e_above_lowest_polymorph_mev_per_atom": 277, "formation_energy_uncorrected_ev_per_atom": -0.8286, "magnetic_moment_mub_per_fu": 0.00}

2.
{"formula": "Sb2TeMoRh", "functional": "GGA-PBE", "state": "relaxed", "cell": [[5.019, 0.000, 0.000], [0.000, 5.019, 0.000], [0.000, 0.000, 5.415]], "species": ["Mo", "Sb", "Rh", "Sb", "Te"], "fractional_positions": [[0.500, 0.500, 0.500], [0.500, 0.000, 0.000], [0.000, 0.000, 0.000], [0.000, 0.500, 0.000], [0.000, 0.000, 0.500]], "space_group": "No. 123", "n_ef_per_ev_atom": 0.794, "e_above_lowest_polymorph_mev_per_atom": 0, "formation_energy_uncorrected_ev_per_atom": 0.8808, "magnetic_moment_mub_per_fu": 3.35}

3.
{"formula": "Pm6Pr3Dy", "functional": "GGA-PBE", "state": "relaxed", "cell": [[6.511, 0.000, 0.000], [0.000, 11.022, -1.721], [0.000, -4.137, 10.360]], "species": ["Pr", "Pm", "Pm", "Pm", "Pm", "Dy", "Pr", "Pr", "Pm", "Pm", "Pm", "Dy", "Pm", "Pm", "Pr", "Pm", "Pm", "Pr", "Pm", "Pr"], "fractional_positions": [[0.963, 0.708, 0.941], [0.861, 0.035, 0.965], [0.650, 0.275, 0.725], [0.557, 0.628, 0.713], [0.370, 0.058, 0.475], [0.115, 0.191, 0.809], [0.463, 0.292, 0.059], [0.579, 0.615, 0.385], [0.370, 0.525, 0.942], [0.361, 0.965, 0.035], [0.150, 0.725, 0.275], [0.615, 0.809, 0.191], [0.057, 0.372, 0.287], [0.057, 0.713, 0.628], [0.079, 0.385, 0.615], [0.870, 0.475, 0.058], [0.557, 0.287, 0.372], [0.463, 0.941, 0.708], [0.870, 0.942, 0.525], [0.963, 0.059, 0.292]], "space_group": "No. 36", "n_ef_per_ev_atom": 1.307, "e_above_lowest_polymorph_mev_per_atom": 0, "magnetic_moment_mub_per_fu": 0.00}

Q: What is the formula in the first record?
A: YSc2F